This record from Alexandria via LeMat-Bulk describes crystalline CuAgSb at its relaxed geometry. The functional is GGA-PBE.

Output
Mass density (g/cm³): 8.22
M_tot (μB/f.u.): 0.00
Formation energy from raw total energies (kJ/mol of atoms): 8.18
DOS at the Fermi energy (states/eV/f.u.): 1.297

Cell: 4.1818 4.7977 6.9331 Å, 75.98 72.52 64.27°
Space group P1 (No. 1)
Asymmetric unit:
Cu 0.0000 0.0000 0.0000 x1
Cu 0.2438 0.8721 0.6367 x1
Ag 0.2800 0.2041 0.2325 x1
Ag 0.6817 0.6080 0.0273 x1
Sb 0.4942 0.2400 0.7711 x1
Sb 0.9081 0.7797 0.3987 x1